## i
Crystalline LaSc3Cl at its relaxed geometry, computed with GGA-PBE.

Summary:
total magnetization: 0.0 μB/f.u.

a = 5.0229 Å, b = 5.0229 Å, c = 5.0229 Å
α = 90.00°, β = 90.00°, γ = 90.00°
With the nearest neighbours (Å) after each atom.
Space group Pm-3m (No. 221)
Symmetry-distinct sites (fractional):
La: 0.0000 0.0000 0.0000 (multiplicity 1)  12 Sc 3.55
Sc: 0.0000 0.5000 0.5000 (multiplicity 3)  2 Cl 2.51
Cl: 0.5000 0.5000 0.5000 (multiplicity 1)  6 Sc 2.51

---

## ii
Crystalline LaSc3Cl at its relaxed geometry, computed with GGA-PBE.

Summary:
total magnetization: 0.0 μB/f.u.

a = 5.4374 Å, b = 5.4374 Å, c = 5.4374 Å
α = 90.00°, β = 90.00°, γ = 90.00°
With the nearest neighbours (Å) after each atom.
Space group Pm-3m (No. 221)
Symmetry-distinct sites (fractional):
La: 0.0000 0.0000 0.0000 (multiplicity 1)  6 Sc 2.72
Sc: 0.0000 0.0000 0.5000 (multiplicity 3)  2 La 2.72
Cl: 0.5000 0.5000 0.5000 (multiplicity 1)  12 Sc 3.84

---

How do the energies compare? Relative to the most stable structure, in meV per atom: i 0; ii 1251.

---

## i
Crystalline La3SeCl3 at its relaxed geometry, computed with GGA-PBE.

Summary:
total magnetization: 0.0 μB/f.u.

a = 11.8274 Å, b = 11.8274 Å, c = 11.8274 Å
α = 90.00°, β = 90.00°, γ = 90.00°
With the nearest neighbours (Å) after each atom.
Space group I4_132 (No. 214)
Symmetry-distinct sites (fractional):
La: 0.1205 0.3705 0.1250 (multiplicity 24)  2 Se 2.90, 4 Cl 3.01
Se: 0.1250 0.1250 0.1250 (multiplicity 8)  6 La 2.90
Cl: 0.1204 0.1296 0.6250 (multiplicity 24)  4 La 3.01

---

## ii
Crystalline La3SeCl3 at its relaxed geometry, computed with GGA-PBE.

Summary:
total magnetization: 0.0 μB/f.u.

a = 7.3090 Å, b = 7.3090 Å, c = 30.2937 Å
α = 90.00°, β = 90.00°, γ = 120.00°
With the nearest neighbours (Å) after each atom.
Space group R-3 (No. 148, hexagonal axes)
Symmetry-distinct sites (fractional):
La: 0.0000 0.3387 0.4448 (multiplicity 18)  2 Se 2.94, 3 Cl 2.94-2.95
Se: 0.0000 0.0000 0.1667 (multiplicity 6)  6 La 2.94
Cl: 0.0001 0.3270 0.6099 (multiplicity 18)  3 La 2.94-2.95

---

How do the energies compare? Relative to the most stable structure, in meV per atom: i 0; ii 37.